A geometry-optimized PmZnPd6 structure, computed with PBE.

```
PmZnPd6
1.0
4.132 0.000 0.000
0.000 4.132 0.000
0.000 0.000 7.825
Pm Zn Pd
1 1 6
direct
0.000 0.000 0.000
0.000 0.000 0.500
0.000 0.500 0.271
0.000 0.500 0.729
0.500 0.000 0.271
0.500 0.000 0.729
0.500 0.500 0.000
0.500 0.500 0.500
```

Calculated values
Energy above the most stable polymorph in this dataset (eV/atom): 0.0000
Energy relative to the elements (eV/atom): -0.529
Density of states at the Fermi level (states/eV/atom): 1.148